# 1
# Li3Ga4Au2, relaxed, DFT PBE
# SG ... C2/m, No. 12
# Final energy ... -28.26 eV/cell
data_Li3Ga4Au2
_chemical_formula_sum 'Li3 Ga4 Au2'
_cell_length_a 5.312
_cell_length_b 5.312
_cell_length_c 8.312
_cell_angle_alpha 119.26
_cell_angle_beta 119.26
_cell_angle_gamma 49.16
_symmetry_space_group_name_H-M 'P 1'
_symmetry_Int_Tables_number 1
loop_
_symmetry_equiv_pos_as_xyz
'x,y,z'
loop_
_atom_site_label
_atom_site_type_symbol
_atom_site_fract_x
_atom_site_fract_y
_atom_site_fract_z
Au1 Au 0.388 0.388 0.223
Au2 Au 0.612 0.612 0.777
Ga1 Ga 0.930 0.930 0.095
Ga2 Ga 0.294 0.294 0.460
Ga3 Ga 0.706 0.706 0.540
Ga4 Ga 0.070 0.070 0.905
Li1 Li 0.665 0.665 0.169
Li2 Li 0.000 0.000 0.500
Li3 Li 0.335 0.335 0.831

=====

# 2
# Li2GaAu, relaxed, DFT PBE
# SG ... P-4m2, No. 115
# Final energy ... -24.33 eV/cell
data_Li2GaAu
_chemical_formula_sum 'Li4 Ga2 Au2'
_cell_length_a 4.391
_cell_length_b 4.391
_cell_length_c 6.181
_cell_angle_alpha 90.00
_cell_angle_beta 90.00
_cell_angle_gamma 90.00
_symmetry_space_group_name_H-M 'P 1'
_symmetry_Int_Tables_number 1
loop_
_symmetry_equiv_pos_as_xyz
'x,y,z'
loop_
_atom_site_label
_atom_site_type_symbol
_atom_site_fract_x
_atom_site_fract_y
_atom_site_fract_z
Au1 Au 0.000 0.500 0.251
Au2 Au 0.500 0.000 0.749
Ga1 Ga 0.500 0.500 0.000
Ga2 Ga 0.000 0.000 0.500
Li1 Li 0.000 0.000 0.000
Li2 Li 0.500 0.000 0.252
Li3 Li 0.500 0.500 0.500
Li4 Li 0.000 0.500 0.748

=====

# 3
# Li2GaAu, relaxed, DFT PBE
# SG ... F-43m, No. 216
# Final energy ... -12.16 eV/cell
data_Li2GaAu
_chemical_formula_sum 'Li2 Ga1 Au1'
_cell_length_a 4.390
_cell_length_b 4.390
_cell_length_c 4.390
_cell_angle_alpha 60.00
_cell_angle_beta 60.00
_cell_angle_gamma 60.00
_symmetry_space_group_name_H-M 'P 1'
_symmetry_Int_Tables_number 1
loop_
_symmetry_equiv_pos_as_xyz
'x,y,z'
loop_
_atom_site_label
_atom_site_type_symbol
_atom_site_fract_x
_atom_site_fract_y
_atom_site_fract_z
Au1 Au 0.250 0.250 0.250
Ga1 Ga 0.500 0.500 0.500
Li1 Li 0.000 0.000 0.000
Li2 Li 0.750 0.750 0.750